Entry 1:
A relaxed Ho2ErCuSn3Ir2 crystal, computed with GGA-PBE.

Structure (CIF):
```
data_Ho2ErCuSn3Ir2
_chemical_formula_sum 'Ho4 Er2 Cu2 Sn6 Ir4'
_space_group_name_H-M_alt 'A m m 2'
_space_group_IT_number 38
_space_group_name_Hall 'A 2 -2'
_cell_length_a 3.836
_cell_length_b 13.030
_cell_length_c 7.532
_cell_angle_alpha 90.00
_cell_angle_beta 90.00
_cell_angle_gamma 90.00
loop_
_atom_site_label
_atom_site_type_symbol
_atom_site_fract_x
_atom_site_fract_y
_atom_site_fract_z
Ho1 Ho 0.000 0.202 0.000
Er1 Er 0.000 0.000 0.394
Cu1 Cu 0.000 0.000 0.798
Sn1 Sn 0.500 0.000 0.060
Sn2 Sn 0.500 0.131 0.667
Ir1 Ir 0.500 0.166 0.298
```

## Properties
total energy	-5.9704	eV/atom
size of the total moment	0.0	μB per formula unit

Entry 2:
A relaxed SmSc crystal, computed with GGA-PBE.

Structure (CIF):
```
data_SmSc
_chemical_formula_sum 'Sm4 Sc4'
_space_group_name_H-M_alt 'F m -3 m'
_space_group_IT_number 225
_space_group_name_Hall '-F 4 2 3'
_cell_length_a 6.188
_cell_length_b 6.188
_cell_length_c 6.188
_cell_angle_alpha 90.00
_cell_angle_beta 90.00
_cell_angle_gamma 90.00
loop_
_atom_site_label
_atom_site_type_symbol
_atom_site_fract_x
_atom_site_fract_y
_atom_site_fract_z
Sm1 Sm 0.000 0.000 0.000
Sc1 Sc 0.000 0.000 0.500
```

## Properties
total energy	-4.7967	eV/atom
size of the total moment	0.8	μB per formula unit
relative energy among the computed polymorphs	62.3	kJ/mol of atoms
formation enthalpy at 0 K	0.7230	eV/atom

Question: The highest size of the total moment belongs to which entry?
Answer: SmSc